Entry 1:
VASP calculation (PBE-GGA) on crystalline Pr2NpCrS6 at its relaxed geometry.

Cell: 6.538 7.228 9.641 Å, 90.00 92.14 90.00°
Each line ends with the local moment (μB).
Positions (direct):
Pr 0.039 0.902 0.245  0.04
Pr 0.539 0.598 0.745  0.04
Pr 0.961 0.098 0.755  0.04
Pr 0.461 0.402 0.255  0.04
Np 0.500 0.000 0.000  3.56
Np 0.000 0.500 0.500  3.56
Cr 0.500 0.000 0.500  3.17
Cr 0.000 0.500 0.000  3.17
S 0.310 0.679 0.060  -0.06
S 0.810 0.821 0.560  -0.06
S 0.690 0.321 0.940  -0.06
S 0.190 0.179 0.440  -0.06
S 0.331 0.695 0.440  -0.06
S 0.831 0.805 0.940  -0.06
S 0.669 0.305 0.560  -0.06
S 0.169 0.195 0.060  -0.06
S 0.874 0.533 0.235  -0.06
S 0.374 0.967 0.735  -0.06
S 0.126 0.467 0.765  -0.06
S 0.626 0.033 0.265  -0.06

Results
E_tot (eV/atom): -7.206
Uncorrected formation energy (kcal/mol of atoms): -35.0



Entry 2:
VASP calculation (PBE-GGA) on crystalline Np2CrPt9 at its relaxed geometry.

Cell: 4.087 4.087 12.214 Å, 90.00 90.00 90.00°
Each line ends with the local moment (μB).
Positions (direct):
Np 0.000 0.000 0.325  3.20
Np 0.000 0.000 0.675  3.20
Cr 0.000 0.000 0.000  3.14
Pt 0.500 0.500 0.000  -0.14
Pt 0.500 0.500 0.329  -0.07
Pt 0.500 0.500 0.671  -0.07
Pt 0.500 0.000 0.157  -0.08
Pt 0.500 0.000 0.500  -0.08
Pt 0.500 0.000 0.843  -0.08
Pt 0.000 0.500 0.157  -0.08
Pt 0.000 0.500 0.500  -0.08
Pt 0.000 0.500 0.843  -0.08

Results
E_tot (eV/atom): -7.961



Entry 3:
VASP calculation (PBE-GGA) on crystalline Rb3Np3CrS8 at its relaxed geometry.

Cell: 7.897 7.897 9.060 Å, 115.85 90.01 120.00°
Each line ends with the local moment (μB).
Positions (direct):
Rb 0.000 0.000 0.000  0.00
Rb 0.000 0.500 0.000  0.00
Rb 0.500 0.500 0.000  0.00
Np 0.500 0.000 0.500  -3.64
Np 0.500 0.500 0.500  -3.64
Np 0.000 0.500 0.500  -3.64
Cr 0.000 0.000 0.500  2.76
S 0.269 0.539 0.308  0.09
S 0.731 0.461 0.692  0.09
S 0.787 0.575 0.323  0.05
S 0.213 0.425 0.677  0.05
S 0.787 0.036 0.323  0.04
S 0.213 0.964 0.677  0.04
S 0.248 0.036 0.323  0.04
S 0.752 0.964 0.677  0.04

Results
E_tot (eV/atom): -6.851
Uncorrected formation energy (kcal/mol of atoms): -28.3